[1]
CsYP2O7: single point on PBEsol structure, meta-GGA SCAN. Values from VASP.

Cell and atoms, written as Quantum ESPRESSO input:
```
&SYSTEM
  ibrav = 0, nat = 44, ntyp = 4
/
ATOMIC_SPECIES
Cs 132.91 Cs.upf
Y 88.91 Y.upf
P 30.97 P.upf
O 16.00 O.upf
CELL_PARAMETERS angstrom
7.9005 0.0000 0.0000
0.0000 10.9385 0.0000
-2.2325 0.0000 8.5044
ATOMIC_POSITIONS crystal
Cs 0.1943 0.1843 0.0570
Cs 0.1943 0.3157 0.5570
Cs 0.8057 0.6843 0.4430
Cs 0.8057 0.8157 0.9430
Y 0.2361 0.5987 0.2529
Y 0.2361 0.9013 0.7529
Y 0.7639 0.0987 0.2471
Y 0.7639 0.4013 0.7471
P 0.1304 0.5979 0.8209
P 0.1304 0.9021 0.3209
P 0.4278 0.6317 0.6836
P 0.4278 0.8683 0.1836
P 0.5722 0.1317 0.8164
P 0.5722 0.3683 0.3164
P 0.8696 0.0979 0.6791
P 0.8696 0.4021 0.1791
O 0.0031 0.5035 0.7260
O 0.0031 0.9965 0.2260
O 0.0833 0.7272 0.7570
O 0.0833 0.7728 0.2570
O 0.1491 0.5884 0.9960
O 0.1491 0.9116 0.4960
O 0.3205 0.5628 0.7942
O 0.3205 0.9372 0.2942
O 0.3275 0.6063 0.5145
O 0.3275 0.8937 0.0145
O 0.3916 0.0724 0.7716
O 0.3916 0.4276 0.2716
O 0.4399 0.7331 0.2281
O 0.4399 0.7669 0.7281
O 0.5601 0.2331 0.2719
O 0.5601 0.2669 0.7719
O 0.6084 0.5724 0.7284
O 0.6084 0.9276 0.2284
O 0.6725 0.1063 0.9855
O 0.6725 0.3937 0.4855
O 0.6795 0.0628 0.7058
O 0.6795 0.4372 0.2058
O 0.8509 0.0884 0.5040
O 0.8509 0.4116 0.0040
O 0.9167 0.2272 0.7430
O 0.9167 0.2728 0.2430
O 0.9969 0.0035 0.7740
O 0.9969 0.4965 0.2740
```

Magnetization, μB/f.u.: 0.0
Raw formation energy, eV/f.u.: -32.914
Raw total energy, eV per formula unit: -162.98
D(E_F), states/eV/f.u.: 0.0
Calculated volume, Å³/atom: 16.703

[2]
CsZnPO4: single point on PBEsol structure, meta-GGA SCAN. Values from VASP.

Cell and atoms, written as Quantum ESPRESSO input:
```
&SYSTEM
  ibrav = 0, nat = 28, ntyp = 4
/
ATOMIC_SPECIES
Cs 132.91 Cs.upf
Zn 65.41 Zn.upf
P 30.97 P.upf
O 16.00 O.upf
CELL_PARAMETERS angstrom
8.9285 0.0000 0.0000
0.0000 5.5282 0.0000
0.0000 0.0000 9.6155
ATOMIC_POSITIONS crystal
Cs 0.0169 0.2500 0.1967
Cs 0.4831 0.7500 0.6967
Cs 0.5169 0.2500 0.3033
Cs 0.9831 0.7500 0.8033
Zn 0.1657 0.7500 0.4031
Zn 0.3343 0.2500 0.9031
Zn 0.6657 0.7500 0.0969
Zn 0.8343 0.2500 0.5969
P 0.2173 0.2500 0.5675
P 0.2827 0.7500 0.0675
P 0.7173 0.2500 0.9325
P 0.7827 0.7500 0.4325
O 0.0487 0.2500 0.5957
O 0.1915 0.7500 0.2033
O 0.2341 0.5243 0.9823
O 0.2341 0.9757 0.9823
O 0.2659 0.0243 0.4823
O 0.2659 0.4757 0.4823
O 0.3085 0.2500 0.7033
O 0.4513 0.7500 0.0957
O 0.5487 0.2500 0.9043
O 0.6915 0.7500 0.2967
O 0.7341 0.5243 0.5177
O 0.7341 0.9757 0.5177
O 0.7659 0.0243 0.0177
O 0.7659 0.4757 0.0177
O 0.8085 0.2500 0.7967
O 0.9513 0.7500 0.4043
```

Magnetization, μB/f.u.: 0.0
Raw formation energy, eV/f.u.: -16.359
Raw total energy, eV per formula unit: -103.01
ΔE to the lowest computed polymorph, meV per atom: 16
D(E_F), states/eV/f.u.: 0.0
Calculated volume, Å³/atom: 16.950

[3]
CsZnPO4: single point on PBEsol structure, meta-GGA SCAN. Values from VASP.

Cell and atoms, written as Quantum ESPRESSO input:
```
&SYSTEM
  ibrav = 0, nat = 56, ntyp = 4
/
ATOMIC_SPECIES
Cs 132.91 Cs.upf
Zn 65.41 Zn.upf
P 30.97 P.upf
O 16.00 O.upf
CELL_PARAMETERS angstrom
9.1851 0.0000 0.0000
0.0000 5.4442 0.0000
-0.1135 0.0000 18.3884
ATOMIC_POSITIONS crystal
Cs 0.1893 0.2143 0.2509
Cs 0.1893 0.2857 0.7509
Cs 0.2913 0.2437 0.4963
Cs 0.2913 0.2563 0.9963
Cs 0.7087 0.7437 0.0037
Cs 0.7087 0.7563 0.5037
Cs 0.8107 0.7143 0.2491
Cs 0.8107 0.7857 0.7491
Zn 0.0844 0.7488 0.5880
Zn 0.0844 0.7512 0.0880
Zn 0.4104 0.7091 0.3330
Zn 0.4104 0.7909 0.8330
Zn 0.5896 0.2091 0.1670
Zn 0.5896 0.2909 0.6670
Zn 0.9156 0.2488 0.9120
Zn 0.9156 0.2512 0.4120
P 0.0810 0.7483 0.9035
P 0.0810 0.7517 0.4035
P 0.4066 0.7109 0.1548
P 0.4066 0.7891 0.6548
P 0.5934 0.2109 0.3452
P 0.5934 0.2891 0.8452
P 0.9190 0.2483 0.5965
P 0.9190 0.2517 0.0965
O 0.0130 0.0453 0.6338
O 0.0130 0.4547 0.1338
O 0.0381 0.5026 0.3679
O 0.0381 0.9974 0.8679
O 0.0493 0.7482 0.4850
O 0.0493 0.7518 0.9850
O 0.2440 0.6944 0.8908
O 0.2440 0.8056 0.3908
O 0.2911 0.6930 0.6000
O 0.2911 0.8070 0.1000
O 0.3452 0.7347 0.2327
O 0.3452 0.7653 0.7327
O 0.4393 0.0621 0.6367
O 0.4393 0.4379 0.1367
O 0.4527 0.1343 0.8544
O 0.4527 0.3657 0.3544
O 0.5473 0.6343 0.6456
O 0.5473 0.8657 0.1456
O 0.5607 0.5621 0.8633
O 0.5607 0.9379 0.3633
O 0.6548 0.2347 0.2673
O 0.6548 0.2653 0.7673
O 0.7089 0.1930 0.9000
O 0.7089 0.3070 0.4000
O 0.7560 0.1944 0.6092
O 0.7560 0.3056 0.1092
O 0.9507 0.2482 0.0150
O 0.9507 0.2518 0.5150
O 0.9619 0.0026 0.1321
O 0.9619 0.4974 0.6321
O 0.9870 0.5453 0.8662
O 0.9870 0.9547 0.3662
```

Magnetization, μB/f.u.: 0.0
Raw formation energy, eV/f.u.: -16.469
Raw total energy, eV per formula unit: -103.12
ΔE to the lowest computed polymorph, meV per atom: 0
D(E_F), states/eV/f.u.: 0.0
Calculated volume, Å³/atom: 16.420

[4]
CsZr2P3O12: single point on PBEsol structure, meta-GGA SCAN. Values from VASP.

Cell and atoms, written as Quantum ESPRESSO input:
```
&SYSTEM
  ibrav = 0, nat = 36, ntyp = 4
/
ATOMIC_SPECIES
Cs 132.91 Cs.upf
Zr 91.22 Zr.upf
P 30.97 P.upf
O 16.00 O.upf
CELL_PARAMETERS angstrom
4.3200 2.4942 8.3233
-4.3200 2.4942 8.3233
0.0000 -4.9883 8.3233
ATOMIC_POSITIONS crystal
Cs 0.0000 0.0000 0.0000
Cs 0.5000 0.5000 0.5000
Zr 0.1525 0.1525 0.1525
Zr 0.3475 0.3475 0.3475
Zr 0.6525 0.6525 0.6525
Zr 0.8475 0.8475 0.8475
P 0.0323 0.7500 0.4677
P 0.2500 0.5323 0.9677
P 0.4677 0.0323 0.7500
P 0.5323 0.9677 0.2500
P 0.7500 0.4677 0.0323
P 0.9677 0.2500 0.5323
O 0.0138 0.7329 0.6460
O 0.0748 0.6934 0.9236
O 0.0764 0.9252 0.3066
O 0.1460 0.2329 0.5138
O 0.1934 0.5748 0.4236
O 0.2329 0.5138 0.1460
O 0.2671 0.3540 0.9862
O 0.3066 0.0764 0.9252
O 0.3540 0.9862 0.2671
O 0.4236 0.1934 0.5748
O 0.4252 0.5764 0.8066
O 0.4862 0.8540 0.7671
O 0.5138 0.1460 0.2329
O 0.5748 0.4236 0.1934
O 0.5764 0.8066 0.4252
O 0.6460 0.0138 0.7329
O 0.6934 0.9236 0.0748
O 0.7329 0.6460 0.0138
O 0.7671 0.4862 0.8540
O 0.8066 0.4252 0.5764
O 0.8540 0.7671 0.4862
O 0.9236 0.0748 0.6934
O 0.9252 0.3066 0.0764
O 0.9862 0.2671 0.3540
```

Magnetization, μB/f.u.: 0.0
Raw formation energy, eV/f.u.: -54.648
Raw total energy, eV per formula unit: -259.83
D(E_F), states/eV/f.u.: 0.0
Calculated volume, Å³/atom: 14.947

Question: Which of these has the highest raw total energy?
Answer: number 2

Question: What is the formula in the second record?
Answer: CsZnPO4

Question: Which value of raw total energy does entry 2 give?
Answer: -103.01 eV per formula unit